(1)
Material: Cs2KRuN
Method: DFT, meta-GGA SCAN
State: single point on PBEsol structure

a b c (Å): 6.5220 6.5220 3.7690
angles (deg): 90.00 90.00 90.00
Element x y z (fractional)
Cs1 0.0000 0.5000 0.0000
Cs2 0.5000 0.0000 0.0000
K1 0.0000 0.0000 0.5000
Ru1 0.5000 0.5000 0.5000
N1 0.5000 0.5000 0.0000

**Crystal system**: tetragonal
**Uncorrected formation energy**: 181.7 kJ/mol of formula units

(2)
Material: Cs2KNa2
Method: DFT, meta-GGA SCAN
State: single point on PBEsol structure

a b c (Å): 12.0741 12.0741 4.6310
angles (deg): 90.00 90.00 90.00
Element x y z (fractional)
Cs1 0.1385 0.3615 0.0000
Cs2 0.3615 0.8615 0.0000
Cs3 0.6385 0.1385 0.0000
Cs4 0.8615 0.6385 0.0000
K1 0.0000 0.0000 0.0000
K2 0.5000 0.5000 0.0000
Na1 0.1603 0.6603 0.5000
Na2 0.3397 0.1603 0.5000
Na3 0.6603 0.8397 0.5000
Na4 0.8397 0.3397 0.5000

**Crystal system**: tetragonal
**Polymorph energy (0 for the lowest one)**: 0.016 eV/atom
**Formation energy from the elements**: 0.0623 eV/atom

Which formula does entry 2 have?
Cs2KNa2